{
  "formula": "CaPuTl2",
  "functional": "PBE-GGA",
  "state": "optimized geometry",
  "e_tot_ev_per_atom": -5.458,
  "formation_enthalpy_0k_ev_per_atom": -0.1917,
  "lattice_angstrom": [[5.550, 0.000, 0.000], [0.000, 5.550, 0.000], [0.000, 0.000, 3.766]],
  "species": ["Ca", "Pu", "Tl", "Tl"],
  "fractional_positions": [[0.000, 0.000, 0.000], [0.500, 0.500, 0.000], [0.000, 0.500, 0.500], [0.500, 0.000, 0.500]]
}